SmMnO3: relaxed, PBE with a Hubbard U.

Cell: 3.8944 3.8944 3.8944 Å, 90.00 90.00 90.00°
Site moments in Bohr magnetons follow the coordinates.
Positions (direct):
Sm1 0.5000 0.5000 0.5000  0.02
Mn1 0.0000 0.0000 0.0000  3.92
O1 0.5000 0.0000 0.0000  -0.02
O2 0.0000 0.5000 0.0000  -0.02
O3 0.0000 0.0000 0.5000  -0.02

Properties
* symmetry: No. 221
* raw total energy: -7.79 eV per atom